Entry 1:
A relaxed structure of Pm7Tm2Mg2. Source: the Alexandria database, functional PBE.

a = 11.1599 Å, b = 11.4511 Å, c = 6.1490 Å
α = 90.00°, β = 115.13°, γ = 90.00°
Closest atoms and distances in Å follow each position.
Space group C2/m (No. 12)
Asymmetric unit:
Pm: 0.0000 0.0000 0.0000  2 Mg 3.32, 4 Pm 3.39
Pm: 0.0973 0.5000 0.8102  3 Mg 3.42-3.61, 4 Pm 3.50-3.80
Pm: 0.1707 0.2533 0.1870  2 Mg 3.19-3.55, 2 Tm 3.30-3.40, 5 Pm 3.39-3.52
Tm: 0.0000 0.1965 0.5000  4 Pm 3.30-3.40, 2 Mg 3.41
Mg: 0.2402 0.0000 0.5530  7 Pm 3.19-3.55, 2 Tm 3.41

## Properties
total moment	0.00	μB/cell
polymorph energy (0 for the lowest one)	0.0	meV/atom
mass density	6.54	g/cm³

Entry 2:
A relaxed structure of SiAu4. Source: the Alexandria database, functional PBE.

a = 5.8471 Å, b = 5.8471 Å, c = 5.8471 Å
α = 90.00°, β = 90.00°, γ = 90.00°
Closest atoms and distances in Å follow each position.
Space group Im-3m (No. 229)
Asymmetric unit:
Si: 0.0000 0.0000 0.0000  8 Au 2.53
Au: 0.2500 0.2500 0.2500  2 Si 2.53

## Properties
total moment	0.00	μB/cell
mass density	13.56	g/cm³
formation energy without anion corrections	0.007	eV per atom

Entry 3:
A relaxed structure of Tb2NiI. Source: the Alexandria database, functional PBE.

a = 4.0297 Å, b = 4.0297 Å, c = 23.6166 Å
α = 90.00°, β = 90.00°, γ = 120.00°
Closest atoms and distances in Å follow each position.
Space group R3m (No. 160, hexagonal axes)
Asymmetric unit:
Tb: 0.0000 0.0000 0.0000  3 Ni 2.72
Tb: 0.0000 0.0000 0.2145  3 Ni 2.72
Ni: 0.0000 0.0000 0.6071  6 Tb 2.72
I: 0.0000 0.0000 0.4394  6 Tb 3.42-3.46

## Properties
total moment	0.00	μB/cell
polymorph energy (0 for the lowest one)	7.5	meV/atom
mass density	7.55	g/cm³
formation energy without anion corrections	-0.668	eV per atom

Entry 4:
A relaxed structure of Sm2Tm2Tl5. Source: the Alexandria database, functional PBE.

a = 15.2558 Å, b = 7.1692 Å, c = 9.7742 Å
α = 90.00°, β = 90.00°, γ = 90.00°
Closest atoms and distances in Å follow each position.
Space group Ima2 (No. 46)
Asymmetric unit:
Sm: 0.1290 0.0364 0.0000  5 Tl 3.12-3.38
Tm: 0.0000 0.0000 0.4353  6 Tl 3.14-3.16
Tm: 0.2500 0.5216 0.0595  6 Tl 3.14-3.42
Tl: 0.0443 0.1947 0.7141  3 Tl 3.10-3.29, 2 Sm 3.12-3.28, 2 Tm 3.14-3.15
Tl: 0.1514 0.7107 0.7780  3 Tl 3.01-3.34, 2 Tm 3.16-3.24, 2 Sm 3.21-3.26
Tl: 0.2500 0.2045 0.2815  2 Tm 3.14-3.16, 4 Tl 3.29-3.34, 2 Sm 3.38

## Properties
total moment	0.00	μB/cell
energy	-3.5010	eV/atom
mass density	10.32	g/cm³

Entry 5:
A relaxed structure of RbPIr2. Source: the Alexandria database, functional PBE.

a = 5.5022 Å, b = 13.3021 Å, c = 5.1688 Å
α = 90.00°, β = 102.44°, γ = 90.00°
Closest atoms and distances in Å follow each position.
Space group Cm (No. 8)
Asymmetric unit:
Rb: 0.0000 0.0000 0.0000  2 Rb 3.34-3.38, 4 P 3.41-3.51, 2 Ir 3.69
Rb: 0.0418 0.5000 0.4573  4 P 3.33-3.34, 2 Rb 3.34-3.38, 2 Ir 3.63
P: 0.4776 0.1561 0.9412  4 Ir 2.33-2.34
Ir: 0.1491 0.2403 0.6632  2 P 2.33-2.34, 1 Ir 2.60
Ir: 0.2982 0.2562 0.2208  2 P 2.33-2.34, 1 Ir 2.60

## Properties
total moment	0.00	μB/cell
energy	-6.3027	eV/atom
mass density	9.01	g/cm³

Entry 6:
A relaxed structure of Ac2Pr2SmY. Source: the Alexandria database, functional PBE.

a = 5.9610 Å, b = 10.2599 Å, c = 7.4024 Å
α = 90.00°, β = 90.00°, γ = 90.00°
Closest atoms and distances in Å follow each position.
Space group Pmc2_1 (No. 26)
Asymmetric unit:
Ac: 0.0000 0.0002 0.0000  6 Ac 3.70-3.93, 2 Sm 3.91-3.92, 6 Pr 3.95-4.02
Ac: 0.5000 0.1730 0.2497  5 Pr 3.48-3.71, 2 Y 3.83
Pr: 0.0000 0.3473 0.2489  1 Sm 3.25, 2 Ac 3.48
Pr: 0.5000 0.1770 0.7492  2 Sm 3.40, 3 Ac 3.59-3.71, 2 Y 3.79-3.80
Sm: 0.0000 0.3360 0.7487  3 Pr 3.25-3.40
Y: 0.5000 0.5001 0.4990  2 Y 3.70, 6 Pr 3.79-3.84, 2 Ac 3.83, 4 Sm 3.89

## Properties
total moment	0.00	μB/cell
energy	-4.7575	eV/atom
mass density	7.15	g/cm³

Entry 7:
A relaxed structure of YIrS2Cl. Source: the Alexandria database, functional PBE.

a = 4.7545 Å, b = 4.7545 Å, c = 4.5925 Å
α = 90.00°, β = 90.00°, γ = 90.00°
Closest atoms and distances in Å follow each position.
Space group P4/mmm (No. 123)
Asymmetric unit:
Y: 0.0000 0.0000 0.0000  8 S 3.31, 4 Cl 3.36
Ir: 0.5000 0.5000 0.5000  2 Cl 2.30, 4 S 2.38
S: 0.0000 0.5000 0.5000  2 Ir 2.38
Cl: 0.5000 0.5000 0.0000  2 Ir 2.30

## Properties
total moment	0.00	μB/cell
polymorph energy (0 for the lowest one)	0.0	meV/atom
mass density	6.09	g/cm³
formation energy without anion corrections	-0.492	eV per atom

Entry 8:
A relaxed structure of Na3PaAg2O6. Source: the Alexandria database, functional PBE.

a = 5.7072 Å, b = 10.3284 Å, c = 5.8315 Å
α = 90.00°, β = 105.29°, γ = 90.00°
Closest atoms and distances in Å follow each position.
Space group C2/m (No. 12)
Asymmetric unit:
Na: 0.0000 0.0000 0.0000  6 O 2.43-2.48
Na: 0.0000 0.3175 0.0000  6 O 2.44-2.54
Pa: 0.0000 0.5000 0.5000  6 O 2.11-2.27
Ag: 0.0000 0.1625 0.5000  2 O 2.18
O: 0.2112 0.5000 0.2524  1 Pa 2.11
O: 0.2477 0.3493 0.7222  1 Ag 2.18, 1 Pa 2.27, 2 Na 2.43-2.44

## Properties
total moment	3.42	μB/cell
mass density	6.13	g/cm³
formation energy without anion corrections	-1.646	eV per atom